1.
DFT (PBE-GGA) results for a geometry-optimized HfNbNiBi structure.

Structure (POSCAR):
```
HfNbNiBi
1.0
0.000 3.355 3.355
3.355 0.000 3.355
3.355 3.355 0.000
Hf Nb Ni Bi
1 1 1 1
direct
0.000 0.000 0.000
0.250 0.250 0.250
0.750 0.750 0.750
0.500 0.500 0.500
```

Size of the total moment in μB/atom: 0.025
Uncorrected energy in eV/atom: -7.10
Distance to the lowest polymorph of the same formula in meV/atom: 0
Space-group type: F-43m
Density in g/cm3: 11.86


2.
DFT (PBE-GGA) results for a geometry-optimized HfNbSi2Bi2 structure.

Structure (POSCAR):
```
HfNbSi2Bi2
1.0
3.773 0.000 0.000
0.000 3.773 0.000
0.000 0.000 8.626
Hf Nb Si Bi
1 1 2 2
direct
0.000 0.000 0.000
0.500 0.500 0.460
0.000 0.500 0.237
0.500 0.000 0.237
0.000 0.000 0.607
0.500 0.500 0.847
```

Size of the total moment in μB/atom: 0.001
Uncorrected energy in eV/atom: -6.75
Space-group type: P4mm
Density in g/cm3: 10.08


3.
DFT (PBE-GGA) results for a geometry-optimized HfNi2Bi structure.

Structure (POSCAR):
```
HfNi2Bi
1.0
0.000 3.247 3.247
3.247 0.000 3.247
3.247 3.247 0.000
Hf Ni Bi
1 2 1
direct
0.000 0.000 0.000
0.250 0.250 0.250
0.500 0.500 0.500
0.750 0.750 0.750
```

Size of the total moment in μB/atom: 0.000
Uncorrected energy in eV/atom: -6.16
Space-group type: F-43m
Density in g/cm3: 12.25


4.
DFT (PBE-GGA) results for a geometry-optimized Hf3Ni4Bi4 structure.

Structure (POSCAR):
```
Hf3Ni4Bi4
1.0
-3.102 3.102 6.126
3.102 -3.102 6.126
3.102 3.102 -6.126
Hf Ni Bi
3 4 4
direct
0.000 0.000 0.000
0.250 0.750 0.500
0.750 0.250 0.500
0.103 0.636 0.000
0.364 0.364 0.467
0.636 0.103 0.000
0.897 0.897 0.533
0.000 0.500 0.500
0.269 0.269 0.000
0.500 0.000 0.500
0.731 0.731 0.000
```

Size of the total moment in μB/atom: 0.000
Uncorrected energy in eV/atom: -6.54
Distance to the lowest polymorph of the same formula in meV/atom: 0
Space-group type: I-42m
Density in g/cm3: 11.31


5.
DFT (PBE-GGA) results for a geometry-optimized HfNiBi2 structure.

Structure (POSCAR):
```
HfNiBi2
1.0
0.000 3.585 3.585
3.585 0.000 3.585
3.585 3.585 0.000
Hf Ni Bi
1 1 2
direct
0.000 0.000 0.000
0.750 0.750 0.750
0.250 0.250 0.250
0.500 0.500 0.500
```

Size of the total moment in μB/atom: 0.003
Uncorrected energy in eV/atom: -5.49
Space-group type: F-43m
Density in g/cm3: 11.80


6.
DFT (PBE-GGA) results for a geometry-optimized Hf4NiBi structure.

Structure (POSCAR):
```
Hf4NiBi
1.0
-3.416 3.416 2.675
3.416 -3.416 2.675
3.416 3.416 -2.675
Hf Ni Bi
4 1 1
direct
0.099 0.599 0.198
0.401 0.901 0.802
0.599 0.401 0.500
0.901 0.099 0.500
0.500 0.500 0.000
0.000 0.000 0.000
```

Size of the total moment in μB/atom: 0.000
Uncorrected energy in eV/atom: -8.35
Space-group type: I422
Density in g/cm3: 13.06